Record 1
! NdTlSi PBE optimized geometry; values from VASP
! crystal system	cubic
! E above lowest polymorph	176	meV/atom
! size of the total moment	0.000	μB/f.u.
&SYSTEM
  ibrav = 0, nat = 3, ntyp = 3
/
ATOMIC_SPECIES
Si 28.09 Si.upf
Nd 144.24 Nd.upf
Tl 204.38 Tl.upf
CELL_PARAMETERS angstrom
0.000 3.563 3.563
3.563 0.000 3.563
3.563 3.563 0.000
ATOMIC_POSITIONS angstrom
Si 1.781 1.781 1.781
Nd 0.000 0.000 0.000
Tl 5.344 5.344 5.344

***

Record 2
! PaPPdO PBE optimized geometry; values from VASP
! crystal system	tetragonal
! E above lowest polymorph	443	meV/atom
! size of the total moment	0.005	μB/f.u.
&SYSTEM
  ibrav = 0, nat = 8, ntyp = 4
/
ATOMIC_SPECIES
P 30.97 P.upf
O 16.00 O.upf
Pa 231.04 Pa.upf
Pd 106.42 Pd.upf
CELL_PARAMETERS angstrom
5.671 0.000 0.000
0.000 5.671 0.000
0.000 0.000 4.450
ATOMIC_POSITIONS angstrom
P 2.835 0.000 2.285
P 0.000 2.835 2.165
O 2.835 2.835 0.000
O 0.000 0.000 0.000
Pa 2.835 2.835 2.225
Pa 0.000 0.000 2.225
Pd 0.000 2.835 4.385
Pd 2.835 0.000 0.065

***

Record 3
! AlZn3 PBE optimized geometry; values from VASP
! crystal system	orthorhombic
! E	-1.833	eV/atom
&SYSTEM
  ibrav = 0, nat = 8, ntyp = 2
/
ATOMIC_SPECIES
Zn 65.41 Zn.upf
Al 26.98 Al.upf
CELL_PARAMETERS angstrom
4.809 -2.777 0.000
-0.003 5.548 0.000
0.000 0.000 4.612
ATOMIC_POSITIONS angstrom
Zn 2.406 -1.383 0.000
Zn 2.404 1.388 0.000
Zn 1.599 2.767 2.306
Zn 0.004 0.004 0.000
Zn 1.601 -0.004 2.306
Zn 4.002 1.380 2.306
Al 0.006 2.786 0.000
Al 4.000 -1.402 2.306

***

Record 4
! AcAgSb PBE optimized geometry; values from VASP
! crystal system	cubic
! E above lowest polymorph	260	meV/atom
! size of the total moment	0.002	μB/f.u.
&SYSTEM
  ibrav = 0, nat = 3, ntyp = 3
/
ATOMIC_SPECIES
Ac 227.00 Ac.upf
Sb 121.76 Sb.upf
Ag 107.87 Ag.upf
CELL_PARAMETERS angstrom
0.000 3.784 3.784
3.784 0.000 3.784
3.784 3.784 0.000
ATOMIC_POSITIONS angstrom
Ac 0.000 0.000 0.000
Sb 5.676 5.676 5.676
Ag 1.892 1.892 1.892

***

Record 5
! YZnGa2 PBE optimized geometry; values from VASP
! crystal system	cubic
! E	-3.694	eV/atom
! size of the total moment	0.004	μB/f.u.
&SYSTEM
  ibrav = 0, nat = 4, ntyp = 3
/
ATOMIC_SPECIES
Zn 65.41 Zn.upf
Ga 69.72 Ga.upf
Y 88.91 Y.upf
CELL_PARAMETERS angstrom
0.000 3.410 3.410
3.410 0.000 3.410
3.410 3.410 0.000
ATOMIC_POSITIONS angstrom
Zn 1.705 1.705 1.705
Ga 5.115 5.115 5.115
Ga 0.000 0.000 0.000
Y 3.410 3.410 3.410

***

Record 6
! LiErSO PBE optimized geometry; values from VASP
! crystal system	monoclinic
! E above lowest polymorph	43	meV/atom
! size of the total moment	0.000	μB/f.u.
&SYSTEM
  ibrav = 0, nat = 16, ntyp = 4
/
ATOMIC_SPECIES
S 32.06 S.upf
O 16.00 O.upf
Er 167.26 Er.upf
Li 6.94 Li.upf
CELL_PARAMETERS angstrom
6.077 0.000 -0.227
0.000 7.100 0.000
-0.889 0.000 6.189
ATOMIC_POSITIONS angstrom
S 0.866 2.855 2.142
S 4.767 6.405 0.725
S 0.422 0.694 5.237
S 4.323 4.244 3.820
O 1.894 5.993 2.366
O 1.450 4.657 5.460
O 3.739 2.443 0.502
O 3.295 1.107 3.596
Er 2.142 2.704 4.638
Er 2.603 6.254 4.418
Er 3.047 4.396 1.324
Er 2.586 0.846 1.544
Li 0.115 5.212 2.573
Li -0.329 5.438 5.668
Li 5.518 1.662 0.294
Li 5.074 1.888 3.389